w) DFT (PBE) results for crystalline Y3CoPb at its relaxed geometry.

Output
Fermi-level density of states: 2.9 states/eV/f.u.
spin magnetization: 0.00 μB per cell

Cell: 19.313 7.989 7.989 Å, 148.23 151.69 28.31°
Positions (direct):
Y (0.521, 0.649, 0.351)
Y (0.248, 0.797, 0.203)
Y (0.479, 0.351, 0.649)
Y (0.752, 0.203, 0.797)
Y (0.133, 0.242, 0.758)
Y (0.867, 0.758, 0.242)
Pb (0.202, 0.507, 0.493)
Pb (0.798, 0.493, 0.507)
Co (0.571, 0.986, 0.014)
Co (0.429, 0.014, 0.986)

***

x) DFT (PBE) results for crystalline Y3CoPb at its relaxed geometry.

Output
Fermi-level density of states: 4.1 states/eV/f.u.
spin magnetization: 0.00 μB per cell

Cell: 16.690 6.389 6.389 Å, 139.39 138.92 41.08°
Positions (direct):
Pb (0.386, 0.036, 0.964)
Pb (0.614, 0.964, 0.036)
Y (0.621, 0.231, 0.769)
Y (0.834, 0.301, 0.699)
Y (0.110, 0.490, 0.510)
Y (0.166, 0.699, 0.301)
Y (0.890, 0.510, 0.490)
Y (0.379, 0.769, 0.231)
Co (0.895, 0.872, 0.128)
Co (0.105, 0.128, 0.872)

***

y) DFT (PBE) results for crystalline Y3CoPb at its relaxed geometry.

Output
Fermi-level density of states: 5.6 states/eV/f.u.
spin magnetization: 0.00 μB per cell

Cell: 6.057 6.057 9.372 Å, 71.15 71.15 90.00°
Positions (direct):
Co (0.250, 0.750, 0.500)
Co (0.000, 0.000, 0.000)
Pb (0.910, 0.410, 0.180)
Pb (0.590, 0.090, 0.820)
Y (0.141, 0.887, 0.226)
Y (0.703, 0.703, 0.595)
Y (0.633, 0.887, 0.226)
Y (0.297, 0.297, 0.405)
Y (0.113, 0.859, 0.774)
Y (0.113, 0.367, 0.774)

***

What is the least stable structure shown above? It is y).